! PBE with a Hubbard U CoSbOF2, optimized geometry; values from VASP
&SYSTEM
  ibrav = 0, nat = 5, ntyp = 4
/
ATOMIC_SPECIES
Co 58.93 Co.upf
Sb 121.76 Sb.upf
O 16.00 O.upf
F 19.00 F.upf
CELL_PARAMETERS angstrom
4.456 0.000 0.000
0.000 4.456 0.000
0.000 0.000 4.276
ATOMIC_POSITIONS angstrom
Co 0.000 0.000 0.000
Sb 2.228 2.228 2.138
O 2.228 2.228 0.000
F 0.000 2.228 2.138
F 2.228 0.000 2.138
! Energy relative to the lowest polymorph listed for this composition in meV/atom: 138
! Calculated total energy in eV per atom: -4.493
! D(E_F) in states/eV/f.u.: 0.70